(1)
A plane-wave DFT calculation with PBE was carried out for LuPuGe after structural relaxation.

Calculated values
SG ... F-43m
DFT total energy ... -91.5 eV/cell
Energy above the most stable polymorph in this dataset ... 0.00 eV per formula unit

Unit cell a=6.799 b=6.799 c=6.799 alpha=90.00 beta=90.00 gamma=90.00
Positions (direct):
Lu  0.000  0.000  0.000
Lu  0.000  0.500  0.500
Lu  0.500  0.000  0.500
Lu  0.500  0.500  0.000
Pu  0.250  0.250  0.250
Pu  0.250  0.750  0.750
Pu  0.750  0.250  0.750
Pu  0.750  0.750  0.250
Ge  0.250  0.250  0.750
Ge  0.250  0.750  0.250
Ge  0.750  0.250  0.250
Ge  0.750  0.750  0.750

(2)
A plane-wave DFT calculation with PBE was carried out for K2Cd3Ge2S8 after structural relaxation.

Calculated values
SG ... C2
DFT total energy ... -57.5 eV/cell

Unit cell a=6.405 b=6.405 c=9.690 alpha=92.68 beta=92.68 gamma=83.77
Positions (direct):
K  0.215  0.215  0.222
K  0.785  0.785  0.778
Cd  0.255  0.745  0.500
Cd  0.359  0.641  0.000
Cd  0.727  0.273  0.500
Ge  0.280  0.245  0.736
Ge  0.755  0.720  0.264
S  0.100  0.754  0.254
S  0.115  0.393  0.921
S  0.126  0.365  0.538
S  0.246  0.900  0.746
S  0.607  0.885  0.079
S  0.612  0.318  0.748
S  0.635  0.874  0.462
S  0.682  0.388  0.252